Below is an optimized crystal structure of Zr2Ir, with properties calculated at the GGA-PBE level.

Calculated values
- total energy (eV/atom) = -8.970
- energy of formation from the pure elements (meV/atom) = -320

Cell: 14.026 8.017 4.849 Å, 90.00 90.00 59.90°
Atoms (fractional coordinates):
Ir  0.972  0.039  0.000
Ir  0.732  0.216  0.000
Ir  0.293  0.443  0.000
Ir  0.828  0.822  0.000
Ir  0.463  0.145  0.500
Ir  0.222  0.322  0.500
Ir  0.366  0.539  0.500
Ir  0.902  0.918  0.500
Zr  0.391  0.038  0.000
Zr  0.593  0.051  0.000
Zr  0.147  0.236  0.000
Zr  0.898  0.436  0.000
Zr  0.458  0.553  0.000
Zr  0.665  0.601  0.000
Zr  0.055  0.646  0.000
Zr  0.207  0.832  0.000
Zr  0.047  0.125  0.500
Zr  0.602  0.310  0.500
Zr  0.803  0.323  0.500
Zr  0.987  0.529  0.500
Zr  0.140  0.715  0.500
Zr  0.530  0.760  0.500
Zr  0.736  0.808  0.500
Zr  0.296  0.925  0.500

Below is an optimized crystal structure of RbPrCdSe3, with properties calculated at the GGA-PBE level.

Calculated values
- total energy (eV/atom) = -4.102

Cell: 9.432 9.432 9.446 Å, 103.54 103.54 26.96°
Atoms (fractional coordinates):
Cd  0.508  0.508  0.219
Cd  0.492  0.492  0.781
Pr  0.171  0.171  0.089
Pr  0.829  0.829  0.911
Rb  0.858  0.858  0.431
Rb  0.142  0.142  0.569
Se  0.000  0.000  0.000
Se  0.337  0.337  0.132
Se  0.663  0.663  0.291
Se  0.500  0.500  0.500
Se  0.337  0.337  0.709
Se  0.663  0.663  0.868

Below is an optimized crystal structure of BaLiSiPd, with properties calculated at the GGA-PBE level.

Calculated values
- total energy (eV/atom) = -4.096

Cell: 4.369 7.096 6.041 Å, 90.00 90.00 90.00°
Atoms (fractional coordinates):
Ba  0.000  0.000  0.103
Ba  0.500  0.500  0.867
Li  0.500  0.303  0.394
Li  0.500  0.697  0.394
Pd  0.000  0.193  0.597
Pd  0.000  0.807  0.597
Si  0.000  0.500  0.405
Si  0.500  0.000  0.644

Below is an optimized crystal structure of TmMgCuSe3, with properties calculated at the GGA-PBE level.

Calculated values
- total energy (eV/atom) = -4.525

Cell: 7.626 3.836 9.182 Å, 90.00 101.07 90.00°
Atoms (fractional coordinates):
Cu  0.418  0.750  0.420
Cu  0.582  0.250  0.580
Mg  0.703  0.250  0.281
Mg  0.297  0.750  0.719
Se  0.903  0.750  0.150
Se  0.441  0.750  0.158
Se  0.235  0.250  0.487
Se  0.765  0.750  0.513
Se  0.559  0.250  0.842
Se  0.097  0.250  0.850
Tm  0.180  0.250  0.175
Tm  0.820  0.750  0.825

- Among the records above, which one has the highest total energy?
  BaLiSiPd

- The highest total energy belongs to which entry?
  BaLiSiPd

- Which of these has the highest total energy?
  BaLiSiPd

- Which of these has the lowest total energy?
  Zr2Ir